Entry 1:
The following is a DFT calculation (PBE-GGA) of a relaxed SrPmPd4 crystal.

Cell lengths 5.554, 5.554, 5.554 Å; angles 60.00, 60.00, 60.00 degrees
Fractional coordinates of all 6 atoms:
Sr (0.000, 0.000, 0.000)
Pm (0.750, 0.750, 0.750)
Pd (0.375, 0.375, 0.375)
Pd (0.375, 0.375, 0.875)
Pd (0.375, 0.875, 0.375)
Pd (0.875, 0.375, 0.375)

## Properties
E_form   -680 meV/atom
Magnetic moment   0.000 μB per formula unit
V   20.2 Å³/atom
VASP energy   -5.214 eV per atom
N(E_F)   6.632 states/eV/cell


Entry 2:
The following is a DFT calculation (PBE-GGA) of a relaxed Sm3Hg2Pd crystal.

Cell lengths 3.723, 3.723, 11.156 Å; angles 90.00, 90.00, 90.00 degrees
Fractional coordinates of all 6 atoms:
Sm (0.000, 0.000, 0.000)
Sm (0.000, 0.000, 0.348)
Sm (0.000, 0.000, 0.652)
Hg (0.500, 0.500, 0.171)
Hg (0.500, 0.500, 0.829)
Pd (0.500, 0.500, 0.500)

## Properties
E_form   -580 meV/atom
Magnetic moment   0.124 μB per formula unit
V   25.8 Å³/atom
VASP energy   -3.906 eV per atom
N(E_F)   4.552 states/eV/cell


Entry 3:
The following is a DFT calculation (PBE-GGA) of a relaxed Y2Bi2PdPt7 crystal.

Cell lengths 3.909, 3.909, 16.404 Å; angles 94.49, 94.49, 89.36 degrees
Fractional coordinates of all 12 atoms:
Y (0.083, 0.083, 0.252)
Y (0.917, 0.917, 0.748)
Bi (0.362, 0.362, 0.611)
Bi (0.638, 0.638, 0.389)
Pd (0.500, 0.500, 0.000)
Pt (0.000, 0.000, 0.000)
Pt (0.042, 0.542, 0.128)
Pt (0.178, 0.178, 0.444)
Pt (0.458, 0.958, 0.872)
Pt (0.542, 0.042, 0.128)
Pt (0.822, 0.822, 0.556)
Pt (0.958, 0.458, 0.872)

## Properties
E_form   -415 meV/atom
Magnetic moment   0.000 μB per formula unit
V   20.8 Å³/atom
VASP energy   -6.095 eV per atom
N(E_F)   8.767 states/eV/cell